1.
The following is a DFT calculation (PBE) of a relaxed SmZrZnRh crystal.

POSCAR file:
```
SmZrZnRh
1.0
4.868 0.000 0.000
2.434 4.216 0.000
2.434 1.405 3.974
Sm Zr Zn Rh
1 1 1 1
direct
0.750 0.750 0.750
0.250 0.250 0.250
0.000 0.000 0.000
0.500 0.500 0.500
```

=====

2.
The following is a DFT calculation (PBE) of a relaxed SmZr2Rh crystal.

POSCAR file:
```
SmZr2Rh
1.0
-1.148 2.436 -3.448
-2.940 -1.512 -2.865
-5.836 2.820 1.159
Zr Rh Sm
2 1 1
direct
0.052 0.052 0.844
0.280 0.280 0.159
0.675 0.675 0.975
0.493 0.493 0.521
```

Energy relative to the lowest polymorph listed for this composition: 0.109 eV/atom

=====

3.
The following is a DFT calculation (PBE) of a relaxed Sm2ZrRh crystal.

POSCAR file:
```
Sm2ZrRh
1.0
-2.784 -1.942 -0.457
0.172 -3.384 0.499
-3.443 -0.435 9.986
Sm Zr Rh
2 1 1
direct
0.102 0.102 0.694
0.898 0.898 0.306
0.000 0.000 0.000
0.500 0.500 0.500
```

=====

4.
The following is a DFT calculation (PBE) of a relaxed SmZr4Rh5 crystal.

POSCAR file:
```
SmZr4Rh5
1.0
-1.055 3.053 -0.792
-2.952 -0.661 1.382
5.650 5.803 14.847
Sm Zr Rh
1 4 5
direct
0.000 0.000 0.000
0.000 0.000 0.596
0.000 0.000 0.792
0.000 0.000 0.208
0.000 0.000 0.404
0.500 0.500 0.500
0.500 0.500 0.691
0.500 0.500 0.878
0.500 0.500 0.122
0.500 0.500 0.309
```

=====

5.
The following is a DFT calculation (PBE) of a relaxed SmZrRh2 crystal.

POSCAR file:
```
SmZrRh2
1.0
3.358 0.000 0.000
0.000 3.358 0.000
0.000 0.000 6.998
Rh Zr Sm
2 1 1
direct
0.000 0.000 0.219
0.000 0.000 0.781
0.500 0.500 0.000
0.500 0.500 0.500
```

=====

6.
The following is a DFT calculation (PBE) of a relaxed SmZr2Rh3 crystal.

POSCAR file:
```
SmZr2Rh3
1.0
3.322 0.000 0.000
0.000 3.322 0.000
0.000 0.000 10.459
Sm Rh Zr
1 3 2
direct
0.500 0.500 0.500
0.000 0.000 0.301
0.000 0.000 0.699
0.000 0.000 0.000
0.500 0.500 0.839
0.500 0.500 0.161
```

=====

7.
The following is a DFT calculation (PBE) of a relaxed Sm3ZrRh4 crystal.

POSCAR file:
```
Sm3ZrRh4
1.0
-2.355 -0.759 2.330
2.338 0.274 2.452
-3.084 13.840 1.391
Rh Sm Zr
4 3 1
direct
0.000 0.000 0.893
0.000 0.000 0.107
0.000 0.000 0.629
0.000 0.000 0.371
0.500 0.500 0.500
0.500 0.500 0.245
0.500 0.500 0.755
0.500 0.500 0.000
```

=====

8.
The following is a DFT calculation (PBE) of a relaxed SmZr2Rh crystal.

POSCAR file:
```
SmZr2Rh
1.0
3.371 0.000 0.000
0.000 3.371 0.000
0.000 0.000 7.878
Sm Zr Rh
1 2 1
direct
0.500 0.500 0.500
0.000 0.000 0.801
0.000 0.000 0.199
0.500 0.500 0.000
```

Energy relative to the lowest polymorph listed for this composition: 0.000 eV/atom

=====

| no. | M_tot (μB/atom) | energy of formation from the pure elements (meV/atom) | VASP energy (eV/atom) |
| --- | --- | --- | --- |
| 1 | 0.0000 | -399 | -5.8720 |
| 2 | 0.0000 | -165 | -7.4572 |
| 3 | 0.0002 | 114 | -6.2200 |
| 4 | 0.0000 | -764 | -8.3305 |
| 5 | 0.0000 | -755 | -7.7479 |
| 6 | 0.0000 | -761 | -8.0723 |
| 7 | 0.0000 | -727 | -7.2407 |
| 8 | 0.0000 | -275 | -7.5665 |